Record 1
# PBE CaTbNd2Dy4, relaxed
# Theoretical density ... 7.1 g/cm³
data_CaTbNd2Dy4
_chemical_formula_sum 'Ca2 Tb2 Nd4 Dy8'
_cell_length_a 7.201
_cell_length_b 7.224
_cell_length_c 12.526
_cell_angle_alpha 73.38
_cell_angle_beta 73.33
_cell_angle_gamma 60.11
_symmetry_space_group_name_H-M 'P -1'
_symmetry_Int_Tables_number 2
loop_
_symmetry_equiv_pos_as_xyz
'x,y,z'
'-x,-y,-z'
loop_
_atom_site_label
_atom_site_type_symbol
_atom_site_fract_x
_atom_site_fract_y
_atom_site_fract_z
Ca1 Ca 0.000 0.000 0.000
Ca2 Ca 0.500 0.000 0.000
Tb1 Tb 0.000 0.000 0.500
Tb2 Tb 0.000 0.500 0.000
Nd1 Nd 0.000 0.500 0.500
Nd2 Nd 0.500 0.000 0.500
Nd3 Nd 0.500 0.500 0.000
Nd4 Nd 0.500 0.500 0.500
Dy1 Dy 0.246 0.256 0.251
Dy2 Dy 0.250 0.257 0.743
Dy3 Dy 0.250 0.743 0.257
Dy4 Dy 0.253 0.745 0.749

=====

Record 2
# PBE Nd2Sn3Ru, relaxed
# Theoretical density ... 7.9 g/cm³
data_Nd2Sn3Ru
_chemical_formula_sum 'Nd8 Sn12 Ru4'
_cell_length_a 13.582
_cell_length_b 6.462
_cell_length_c 7.516
_cell_angle_alpha 90.00
_cell_angle_beta 108.86
_cell_angle_gamma 90.00
_symmetry_space_group_name_H-M 'C 1 2/c 1'
_symmetry_Int_Tables_number 15
loop_
_symmetry_equiv_pos_as_xyz
'x,y,z'
'-x,-y,-z'
'-x,y,-z+1/2'
'x,-y,z+1/2'
'x+1/2,y+1/2,z'
'-x+1/2,-y+1/2,-z'
'-x+1/2,y+1/2,-z+1/2'
'x+1/2,-y+1/2,z+1/2'
loop_
_atom_site_label
_atom_site_type_symbol
_atom_site_fract_x
_atom_site_fract_y
_atom_site_fract_z
Nd1 Nd 0.184 0.038 0.082
Sn1 Sn 0.000 0.142 0.250
Sn2 Sn 0.113 0.455 0.543
Ru1 Ru 0.000 0.272 0.750

=====

Record 3
# PBE PuZrIn2, relaxed
# Distance to the lowest polymorph of the same formula ... 0.000 eV per atom
# Theoretical density ... 9.9 g/cm³
data_PuZrIn2
_chemical_formula_sum 'Pu1 Zr1 In2'
_cell_length_a 3.172
_cell_length_b 3.172
_cell_length_c 9.422
_cell_angle_alpha 90.00
_cell_angle_beta 90.00
_cell_angle_gamma 90.00
_symmetry_space_group_name_H-M 'P 4/m m m'
_symmetry_Int_Tables_number 123
_symmetry_space_group_name_Hall '-P 4 2'
loop_
_atom_site_label
_atom_site_type_symbol
_atom_site_fract_x
_atom_site_fract_y
_atom_site_fract_z
Pu1 Pu 0.000 0.000 0.000
Zr1 Zr 0.000 0.000 0.500
In1 In 0.500 0.500 0.263

=====

Record 4
# PBE Li2SmTm2Pb2, relaxed
# Theoretical density ... 8.4 g/cm³
data_Li2SmTm2Pb2
_chemical_formula_sum 'Li6 Sm3 Tm6 Pb6'
_cell_length_a 4.8544
_cell_length_b 4.8544
_cell_length_c 26.4789
_cell_angle_alpha 90.00
_cell_angle_beta 90.00
_cell_angle_gamma 120.00
_symmetry_space_group_name_H-M 'R -3 m'
_symmetry_Int_Tables_number 166
_symmetry_space_group_name_Hall '-R 3 2"'
loop_
_atom_site_label
_atom_site_type_symbol
_atom_site_fract_x
_atom_site_fract_y
_atom_site_fract_z
Li1 Li 0.0000 0.0000 0.0876
Sm1 Sm 0.0000 0.0000 0.5000
Tm1 Tm 0.0000 0.0000 0.3694
Pb1 Pb 0.0000 0.0000 0.2385

=====

Record 5
# PBE CdMoAu4, relaxed
# Theoretical density ... 14.1 g/cm³
data_CdMoAu4
_chemical_formula_sum 'Cd4 Mo4 Au16'
_cell_length_a 7.776
_cell_length_b 7.776
_cell_length_c 7.776
_cell_angle_alpha 90.00
_cell_angle_beta 90.00
_cell_angle_gamma 90.00
_symmetry_space_group_name_H-M 'F -4 3 m'
_symmetry_Int_Tables_number 216
_symmetry_space_group_name_Hall 'F -4 2 3'
loop_
_atom_site_label
_atom_site_type_symbol
_atom_site_fract_x
_atom_site_fract_y
_atom_site_fract_z
Cd1 Cd 0.000 0.000 0.000
Mo1 Mo 0.250 0.250 0.750
Au1 Au 0.125 0.125 0.375

=====

Record 6
# PBE CaCe2Bi3, relaxed
# Distance to the lowest polymorph of the same formula ... 0.223 eV per atom
# Theoretical density ... 7.1 g/cm³
data_CaCe2Bi3
_chemical_formula_sum 'Ca4 Ce8 Bi12'
_cell_length_a 15.845
_cell_length_b 6.808
_cell_length_c 8.198
_cell_angle_alpha 90.00
_cell_angle_beta 90.00
_cell_angle_gamma 90.00
_symmetry_space_group_name_H-M 'C m c m'
_symmetry_Int_Tables_number 63
_symmetry_space_group_name_Hall '-C 2c 2'
loop_
_atom_site_label
_atom_site_type_symbol
_atom_site_fract_x
_atom_site_fract_y
_atom_site_fract_z
Ca1 Ca 0.000 0.118 0.250
Ce1 Ce 0.155 0.500 0.000
Bi1 Bi 0.000 0.364 0.750
Bi2 Bi 0.202 0.151 0.250

=====

Number 1: ΔE_f 0.0559 eV per atom, magnetization 0.0 μB per formula unit. Number 2: ΔE_f -0.3351 eV per atom, magnetization 0.0 μB per formula unit. Number 3: ΔE_f -0.2459 eV per atom, magnetization 5.4 μB per formula unit. Number 4: ΔE_f -0.3053 eV per atom, magnetization 0.0 μB per formula unit. Number 5: ΔE_f 0.3891 eV per atom, magnetization 3.5 μB per formula unit. Number 6: ΔE_f -0.5689 eV per atom, magnetization 1.5 μB per formula unit.